(1)
# PBE LiTl2Fe, relaxed
data_LiTl2Fe
_space_group_name_H-M_alt 'F -4 3 m'
_space_group_IT_number 216
_space_group_name_Hall 'F -4 2 3'
_cell_length_a 6.9831
_cell_length_b 6.9831
_cell_length_c 6.9831
_cell_angle_alpha 90.00
_cell_angle_beta 90.00
_cell_angle_gamma 90.00
loop_
_atom_site_label
_atom_site_fract_x
_atom_site_fract_y
_atom_site_fract_z
_atom_site_occupancy
Li1 0.0000 0.0000 0.0000 1
Tl1 0.0000 0.0000 0.5000 1
Tl2 0.2500 0.2500 0.7500 1
Fe1 0.2500 0.2500 0.2500 1
# V = 340.5 Å³/cell
# Energy of formation = 0.473 eV per atom
# Density = 9.2 g/cm³
# Magnetic moment = 10.957 μB/cell

(2)
# PBE Li3TlFe, relaxed
data_Li3TlFe
_space_group_name_H-M_alt 'P m -3 m'
_space_group_IT_number 221
_space_group_name_Hall '-P 4 2 3'
_cell_length_a 4.7906
_cell_length_b 4.7906
_cell_length_c 4.7906
_cell_angle_alpha 90.00
_cell_angle_beta 90.00
_cell_angle_gamma 90.00
loop_
_atom_site_label
_atom_site_fract_x
_atom_site_fract_y
_atom_site_fract_z
_atom_site_occupancy
Li1 0.0000 0.0000 0.5000 1
Tl1 0.5000 0.5000 0.5000 1
Fe1 0.0000 0.0000 0.0000 1
# V = 109.9 Å³/cell
# Energy of formation = 0.584 eV per atom
# Excess energy over the best structure of this formula in the dataset = 0 meV per atom
# Density = 4.2 g/cm³
# Magnetic moment = 2.729 μB/cell

(3)
# PBE LiTl3Fe, relaxed
data_LiTl3Fe
_space_group_name_H-M_alt 'P m -3 m'
_space_group_IT_number 221
_space_group_name_Hall '-P 4 2 3'
_cell_length_a 5.1044
_cell_length_b 5.1044
_cell_length_c 5.1044
_cell_angle_alpha 90.00
_cell_angle_beta 90.00
_cell_angle_gamma 90.00
loop_
_atom_site_label
_atom_site_fract_x
_atom_site_fract_y
_atom_site_fract_z
_atom_site_occupancy
Li1 0.0000 0.0000 0.0000 1
Tl1 0.0000 0.5000 0.5000 1
Fe1 0.5000 0.5000 0.5000 1
# V = 133.0 Å³/cell
# Energy of formation = 0.290 eV per atom
# Excess energy over the best structure of this formula in the dataset = 0 meV per atom
# Density = 8.4 g/cm³
# Magnetic moment = 0.001 μB/cell

(4)
# PBE LiTl2Fe, relaxed
data_LiTl2Fe
_space_group_name_H-M_alt 'P 4 m m'
_space_group_IT_number 99
_cell_length_a 3.6985
_cell_length_b 3.6985
_cell_length_c 5.8818
_cell_angle_alpha 90.00
_cell_angle_beta 90.00
_cell_angle_gamma 90.00
loop_
_space_group_symop_operation_xyz
'x,y,z'
'-y,x,z'
'-x,-y,z'
'y,-x,z'
'-x,y,z'
'y,x,z'
'x,-y,z'
'-y,-x,z'
loop_
_atom_site_label
_atom_site_fract_x
_atom_site_fract_y
_atom_site_fract_z
_atom_site_occupancy
Li1 0.0000 0.0000 0.0000 1
Tl1 0.0000 0.0000 0.5572 1
Tl2 0.5000 0.5000 0.2063 1
Fe1 0.5000 0.5000 0.7286 1
# V = 80.5 Å³/cell
# Energy of formation = 0.325 eV per atom
# Density = 9.7 g/cm³
# Magnetic moment = 2.464 μB/cell

(5)
# PBE Li2TlFe, relaxed
data_Li2TlFe
_space_group_name_H-M_alt 'P 4/m m m'
_space_group_IT_number 123
_space_group_name_Hall '-P 4 2'
_cell_length_a 3.3427
_cell_length_b 3.3427
_cell_length_c 5.9013
_cell_angle_alpha 90.00
_cell_angle_beta 90.00
_cell_angle_gamma 90.00
loop_
_atom_site_label
_atom_site_fract_x
_atom_site_fract_y
_atom_site_fract_z
_atom_site_occupancy
Li1 0.0000 0.0000 0.2249 1
Tl1 0.5000 0.5000 0.5000 1
Fe1 0.5000 0.5000 0.0000 1
# V = 65.9 Å³/cell
# Energy of formation = 0.229 eV per atom
# Density = 6.9 g/cm³
# Magnetic moment = 2.620 μB/cell

(6)
# PBE Li2TlFe, relaxed
data_Li2TlFe
_space_group_name_H-M_alt 'P 1 2/m 1'
_space_group_IT_number 10
_cell_length_a 2.9362
_cell_length_b 4.5919
_cell_length_c 5.1764
_cell_angle_alpha 90.00
_cell_angle_beta 100.68
_cell_angle_gamma 90.00
loop_
_space_group_symop_operation_xyz
'x,y,z'
'-x,-y,-z'
'-x,y,-z'
'x,-y,z'
loop_
_atom_site_label
_atom_site_fract_x
_atom_site_fract_y
_atom_site_fract_z
_atom_site_occupancy
Li1 0.2494 0.0000 0.2330 1
Tl1 0.0000 0.5000 0.5000 1
Fe1 0.5000 0.5000 0.0000 1
# V = 68.6 Å³/cell
# Energy of formation = 0.228 eV per atom
# Density = 6.6 g/cm³
# Magnetic moment = 2.602 μB/cell